1.
Material: Li6BiPt
Method: DFT, PBE
State: optimized geometry

```
8
Lattice="4.461 0.000 0.000 0.000 4.461 0.000 0.000 0.000 6.251" Properties=species:S:1:pos:R:3 pbc="T T T"
Li 0.000 0.000 0.000
Li 0.000 2.230 1.428
Li 0.000 2.230 4.823
Li 2.230 0.000 1.428
Li 2.230 0.000 4.823
Li 2.230 2.230 3.126
Bi 0.000 0.000 3.126
Pt 2.230 2.230 0.000
```

* SG: P4/mmm (123)
* total energy: -3.129 eV/atom

2.
Material: Na3CoS3
Method: DFT, PBE
State: optimized geometry

```
56
Lattice="4.375 -10.802 0.000 4.375 10.802 0.000 0.000 0.000 11.965" Properties=species:S:1:pos:R:3 pbc="T T T"
Na 2.436 4.656 7.424
Na 4.375 9.321 5.983
Na 2.444 3.715 10.794
Na 2.079 1.744 4.898
Na 1.872 0.838 8.461
Na 2.602 2.624 1.806
Na 1.872 -0.838 2.478
Na 4.375 5.059 3.792
Na 2.079 -1.744 10.881
Na 2.602 -2.624 7.789
Na 2.444 -3.715 4.811
Na 2.436 -4.656 1.441
Na 6.314 4.656 7.424
Na 6.306 3.715 10.794
Na 6.149 2.624 1.806
Na 6.671 1.744 4.898
Na 4.375 -5.059 9.775
Na 6.879 0.838 8.461
Na 6.149 -2.624 7.789
Na 6.879 -0.838 2.478
Na 6.671 -1.744 10.881
Na 6.306 -3.715 4.811
Na 4.375 -9.321 0.000
Na 6.314 -4.656 1.441
Co 4.375 7.204 8.716
Co 4.375 6.362 11.431
Co 4.375 1.086 10.234
Co 4.375 0.173 0.678
Co 4.375 -0.173 6.660
Co 4.375 -1.086 4.252
Co 4.375 -6.362 5.449
Co 4.375 -7.204 2.733
S 2.615 6.437 9.974
S 4.375 9.483 8.821
S 4.375 8.123 0.848
S 4.375 7.787 3.013
S 4.375 6.561 6.526
S 2.561 0.908 11.530
S 4.375 4.553 0.828
S 2.561 -0.908 5.547
S 4.375 2.759 8.809
S 6.136 6.437 9.974
S 4.375 2.043 6.722
S 4.375 0.697 2.852
S 4.375 -0.697 8.835
S 4.375 -2.043 0.740
S 2.615 -6.437 3.991
S 4.375 -2.759 2.826
S 6.190 0.908 11.530
S 4.375 -4.553 6.811
S 6.190 -0.908 5.547
S 4.375 -6.561 0.543
S 4.375 -7.787 8.996
S 4.375 -8.123 6.831
S 4.375 -9.483 2.838
S 6.136 -6.437 3.991
```

* SG: Cmc2_1 (36)
* total energy: -4.104 eV/atom

3.
Material: YTmTeO2
Method: DFT, PBE
State: optimized geometry

```
5
Lattice="-1.946 1.946 6.178 1.946 -1.946 6.178 1.946 1.946 -6.178" Properties=species:S:1:pos:R:3 pbc="T T T"
Y 0.000 0.000 0.000
Tm 0.000 0.000 8.335
Te 0.000 0.000 4.181
O 1.946 0.000 1.126
O 0.000 1.946 1.126
```

* offset from the most stable computed form: 0.0000 eV per atom
* SG: I4mm (107)
* total energy: -7.754 eV/atom

4.
Material: Sm2CoCuN2
Method: DFT, PBE
State: optimized geometry

```
6
Lattice="3.557 0.000 0.000 0.000 3.783 0.000 0.000 0.000 6.855" Properties=species:S:1:pos:R:3 pbc="T T T"
Sm 0.000 0.000 1.699
Sm 0.000 0.000 5.156
Co 1.778 1.892 0.000
Cu 1.778 1.892 3.428
N 0.000 1.892 0.000
N 1.778 0.000 3.428
```

* SG: Pmmm (47)
* total energy: -6.928 eV/atom

5.
Material: Tb11O20
Method: DFT, PBE
State: optimized geometry

```
31
Lattice="6.549 0.000 0.000 -1.075 6.480 0.000 -1.004 -0.418 10.047" Properties=species:S:1:pos:R:3 pbc="T T T"
Tb 0.000 0.000 0.000
Tb 0.021 1.076 3.856
Tb -0.056 1.963 7.459
Tb 1.153 3.752 0.841
Tb 1.192 4.558 4.405
Tb 0.947 5.553 8.176
Tb 3.523 0.509 1.871
Tb 3.278 1.504 5.642
Tb 3.317 2.311 9.206
Tb 4.526 4.100 2.588
Tb 4.449 4.987 6.191
O -0.960 5.253 4.276
O -0.903 1.767 9.594
O -1.241 6.055 7.962
O 0.171 3.116 2.785
O 0.082 4.100 6.525
O 1.072 2.461 5.399
O 1.052 6.001 0.380
O 2.217 0.451 3.810
O 1.329 3.464 8.900
O 2.099 1.238 7.575
O 2.371 4.825 2.472
O 3.141 2.598 1.147
O 2.253 5.611 6.237
O 3.418 0.061 9.667
O 3.398 3.602 4.648
O 4.387 1.963 3.522
O 4.299 2.947 7.262
O 5.711 0.008 2.085
O 5.373 4.295 0.453
O 5.429 0.810 5.771
```

* offset from the most stable computed form: 0.0109 eV per atom
* SG: P-1 (2)
* total energy: -7.825 eV/atom

6.
Material: TbCuHg
Method: DFT, PBE
State: optimized geometry

```
3
Lattice="0.000 3.252 3.252 3.252 0.000 3.252 3.252 3.252 0.000" Properties=species:S:1:pos:R:3 pbc="T T T"
Tb 0.000 0.000 0.000
Cu 4.879 4.879 4.879
Hg 3.252 3.252 3.252
```

* SG: F-43m (216)
* energy of formation: -0.2073 eV/atom
* total energy: -3.089 eV/atom

7.
Material: TlCoOsPt
Method: DFT, PBE
State: optimized geometry

```
4
Lattice="0.000 3.170 3.170 3.170 0.000 3.170 3.170 3.170 0.000" Properties=species:S:1:pos:R:3 pbc="T T T"
Tl 0.000 0.000 0.000
Co 1.585 1.585 1.585
Os 4.756 4.756 4.756
Pt 3.170 3.170 3.170
```

* offset from the most stable computed form: 0.0000 eV per atom
* SG: F-43m (216)
* total energy: -6.018 eV/atom

8.
Material: FeTe2Pd2
Method: DFT, PBE
State: optimized geometry

```
5
Lattice="-2.002 2.002 6.475 2.002 -2.002 6.475 2.002 2.002 -6.475" Properties=species:S:1:pos:R:3 pbc="T T T"
Fe 0.000 0.000 0.000
Te 0.000 0.000 5.015
Te 0.000 0.000 7.935
Pd 2.002 0.000 3.237
Pd 0.000 2.002 3.237
```

* SG: I4/mmm (139)
* total energy: -4.700 eV/atom